(1)
Computed, not measured: a relaxed LiTaInIr crystal at the PBE-GGA level of DFT.

abc: 4.5095 4.5095 4.5095
angles: 60.00 60.00 60.00
Fractional positions:
In 0.2500 0.2500 0.2500
Li 0.7500 0.7500 0.7500
Ta 0.5000 0.5000 0.5000
Ir 0.0000 0.0000 0.0000

Output
- Offset from the most stable computed form: 15.42 kcal/mol of atoms

(2)
Computed, not measured: a relaxed Lu2CdCu crystal at the PBE-GGA level of DFT.

abc: 4.9395 4.9395 4.9395
angles: 60.00 60.00 60.00
Fractional positions:
Lu 0.7500 0.7500 0.7500
Cd 0.5000 0.5000 0.5000
Cu 0.2500 0.2500 0.2500
Lu 0.0000 0.0000 0.0000

Output
- E_form: 1.7 kcal/mol of atoms

(3)
Computed, not measured: a relaxed YNbSn2Pt2 crystal at the PBE-GGA level of DFT.

abc: 6.4384 4.5431 9.0822
angles: 90.00 90.00 90.00
Fractional positions:
Pt 0.2656 0.5000 0.3580
Sn 0.4851 0.0000 0.8751
Pt 0.2368 0.5000 0.8876
Pt 0.7368 0.0000 0.1124
Sn 0.5111 0.0000 0.3731
Y 0.0032 0.0000 0.3757
Pt 0.7656 0.0000 0.6420
Sn 0.0111 0.5000 0.6269
Y 0.5032 0.5000 0.6243
Nb 0.9981 0.0000 0.8775
Nb 0.4981 0.5000 0.1225
Sn 0.9851 0.5000 0.1249

(4)
Computed, not measured: a relaxed LiTcO4 crystal at the PBE-GGA level of DFT.

abc: 5.3283 5.3283 5.3283
angles: 129.16 129.16 74.75
Fractional positions:
O 0.8995 0.8389 0.4733
O 0.5738 0.1005 0.9394
Tc 0.2500 0.7500 0.5000
O 0.1611 0.6344 0.0606
O 0.3656 0.4262 0.5267
Li 0.5000 0.5000 0.0000

Output
- Offset from the most stable computed form: 0.00 kcal/mol of atoms

(5)
Computed, not measured: a relaxed ZnGaCuIr crystal at the PBE-GGA level of DFT.

abc: 4.2726 4.2726 4.2726
angles: 60.00 60.00 60.00
Fractional positions:
Ir 0.2500 0.2500 0.2500
Zn 0.5000 0.5000 0.5000
Ga 0.0000 0.0000 0.0000
Cu 0.7500 0.7500 0.7500

Output
- Offset from the most stable computed form: 0.00 kcal/mol of atoms

(6)
Computed, not measured: a relaxed LuMgAgTeS2 crystal at the PBE-GGA level of DFT.

abc: 6.9986 6.9986 10.8660
angles: 90.00 90.00 148.24
Fractional positions:
Lu 0.0000 0.0000 0.0000
S 0.6292 0.3708 0.5732
Ag 0.5111 0.4889 0.7500
Mg 0.1946 0.8054 0.7500
Lu 0.0000 0.0000 0.5000
Te 0.1367 0.8633 0.2500
S 0.3708 0.6292 0.4268
S 0.3708 0.6292 0.0732
S 0.6292 0.3708 0.9268
Te 0.8633 0.1367 0.7500
Mg 0.8054 0.1946 0.2500
Ag 0.4889 0.5111 0.2500

(7)
Computed, not measured: a relaxed AlTcNi2 crystal at the PBE-GGA level of DFT.

abc: 4.1295 4.1295 4.1295
angles: 60.00 60.00 60.00
Fractional positions:
Tc 0.2500 0.2500 0.2500
Ni 0.0000 0.0000 0.0000
Ni 0.7500 0.7500 0.7500
Al 0.5000 0.5000 0.5000

(8)
Computed, not measured: a relaxed HfBi crystal at the PBE-GGA level of DFT.

abc: 5.9237 3.9011 4.6656
angles: 90.00 90.00 109.23
Fractional positions:
Hf 0.8238 0.4119 0.7500
Bi 0.2676 0.1338 0.7500
Bi 0.7324 0.8662 0.2500
Hf 0.1762 0.5881 0.2500

| no. | total magnetic moment (μB per formula unit) | calculated total energy (eV per cell) |
| --- | --- | --- |
| 1 | 0.05 | -24.3 |
| 2 | 0.03 | -13.4 |
| 3 | 0.00 | -83.4 |
| 4 | 0.00 | -41.6 |
| 5 | 0.00 | -17.7 |
| 6 | 0.00 | -52.7 |
| 7 | 1.51 | -25.9 |
| 8 | 0.50 | -28.1 |